Record 1
Rb4Sm3PbO8: relaxed, PBE.

The calculation puts the final energy at -290.698 eV for the cell shown.

The space group is R-3m (No. 166, hexagonal axes) and the conventional cell measures 7.2388, 7.2388 and 19.8298 Å, with angles of 90.00, 90.00 and 120.00 degrees. The distinct sites, in fractional coordinates, are Rb at (0.0000, 0.0000, 0.0000), Rb at (0.0000, 0.5000, 0.0000), Sm at (0.0000, 0.5000, 0.5000), Pb at (0.0000, 0.0000, 0.5000), O at (0.0000, 0.0000, 0.2259) and O at (0.0088, 0.5044, 0.7718).

---

Record 2
Rb2SmPbO4: relaxed, PBE.

The calculation puts the final energy at -88.886 eV for the cell shown.

The space group is C2 (No. 5) and the conventional cell measures 8.9681, 9.4394 and 6.3504 Å, with angles of 90.00, 134.89 and 90.00 degrees. The distinct sites, in fractional coordinates, are Rb at (0.0000, 0.0000, 0.0000), Rb at (0.0000, 0.2498, 0.5000), Sm at (0.0000, 0.4993, 0.0000), Pb at (0.0000, 0.7495, 0.5000), O at (0.1632, 0.6239, 0.4100) and O at (0.2463, 0.3738, 0.0827).

---

Record 3
RbSmPbO3: relaxed, PBE.

The calculation puts the final energy at -73.869 eV for the cell shown.

The space group is P2_1/m (No. 11) and the conventional cell measures 7.2275, 3.6190 and 9.5625 Å, with angles of 90.00, 91.98 and 90.00 degrees. The distinct sites, in fractional coordinates, are Rb at (0.1132, 0.2500, 0.1883), Sm at (0.4108, 0.2500, 0.8537), Pb at (0.2668, 0.7500, 0.5559), O at (0.1566, 0.2500, 0.6844), O at (0.3235, 0.7500, 0.9972) and O at (0.4948, 0.2500, 0.2901).

---

Record 4
Rb3Sm2PbO6: relaxed, PBE.

The calculation puts the final energy at -141.571 eV for the cell shown.

The space group is C2/m (No. 12) and the conventional cell measures 6.2787, 10.8763 and 6.9267 Å, with angles of 90.00, 107.53 and 90.00 degrees. The distinct sites, in fractional coordinates, are Rb at (0.0000, 0.0000, 0.0000), Rb at (0.0000, 0.3366, 0.0000), Sm at (0.0000, 0.1669, 0.5000), Pb at (0.0000, 0.5000, 0.5000), O at (0.2172, 0.0000, 0.6846) and O at (0.2340, 0.3276, 0.6853).

---

Record 5
Rb2SnPbO4: relaxed, PBE.

The calculation puts the final energy at -81.772 eV for the cell shown.

The space group is Pmn2_1 (No. 31) and the conventional cell measures 8.3732, 7.2961 and 6.0288 Å, with angles of 90.00, 90.00 and 90.00 degrees. The distinct sites, in fractional coordinates, are Rb at (0.2447, 0.1760, 0.0000), Sn at (0.0000, 0.3559, 0.5250), Pb at (0.0000, 0.6867, 0.0074), O at (0.0000, 0.4126, 0.8539), O at (0.0000, 0.5973, 0.3637) and O at (0.2011, 0.2184, 0.4758).

---

Record 6
RbSrPbO3: relaxed, PBE.

The calculation puts the final energy at -62.138 eV for the cell shown.

The space group is P2_1/m (No. 11) and the conventional cell measures 6.4419, 4.1056 and 9.6820 Å, with angles of 90.00, 90.60 and 90.00 degrees. The distinct sites, in fractional coordinates, are Rb at (0.2439, 0.2500, 0.1851), Sr at (0.2500, 0.7500, 0.5309), Pb at (0.2554, 0.2500, 0.8088), O at (0.0257, 0.2500, 0.6407), O at (0.2514, 0.7500, 0.8933) and O at (0.4813, 0.2500, 0.6420).

---

Record 7
RbSr2PbO4: relaxed, PBE.

The calculation puts the final energy at -168.926 eV for the cell shown.

The space group is Imma (No. 74) and the conventional cell measures 7.4516, 7.5915 and 10.4437 Å, with angles of 90.00, 90.00 and 90.00 degrees. The distinct sites, in fractional coordinates, are Rb at (0.2500, 0.2500, 0.2500), Sr at (0.0000, 0.0000, 0.0000), Sr at (0.2500, 0.2500, 0.7500), Pb at (0.0000, 0.0000, 0.5000), O at (0.0000, 0.0269, 0.7290) and O at (0.2375, 0.2500, 0.9887).

---

Record 8
Rb4Ta3PbO12: relaxed, PBE.

The calculation puts the final energy at -290.519 eV for the cell shown.

The space group is Im-3m (No. 229) and the conventional cell measures 8.2932, 8.2932 and 8.2932 Å, with angles of 90.00, 90.00 and 90.00 degrees. The distinct sites, in fractional coordinates, are Rb at (0.2500, 0.2500, 0.2500), Ta at (0.0000, 0.0000, 0.5000), Pb at (0.0000, 0.0000, 0.0000), O at (0.0000, 0.0000, 0.2646) and O at (0.0000, 0.2500, 0.5000).

---

final energy of number 4 (Rb3Sm2PbO6)? -141.571 eV for the cell shown

---

Which value of final energy does entry 4 give? -141.571 eV for the cell shown

---

Number 7 is which compound? RbSr2PbO4

---

Look up the final energy of the second one. -88.886 eV for the cell shown